# 1
PrB4Pb | GGA-PBE | optimized geometry

Cell: 3.2682 5.4636 8.9615 Å, 90.00 90.00 90.00°
Space group Immm (No. 71)
Symmetry-distinct sites (fractional):
1 Pr 0.0000 0.0000 0.0000
2 B 0.0000 0.3269 0.2568
3 Pb 0.0000 0.0000 0.5000

Calculated values
**Energy**: -68.80 eV per cell
**Total moment**: 0.00 μB per cell
**Offset from the most stable computed form**: 0 meV per atom

---

# 2
YMgAlNi | GGA-PBE | optimized geometry

Cell: 7.4543 5.0946 11.1916 Å, 90.00 90.00 90.00°
Space group Amm2 (No. 38)
Symmetry-distinct sites (fractional):
1 Y 0.0000 0.0000 0.0000
2 Y 0.0000 0.0000 0.3050
3 Mg 0.3164 0.0000 0.5122
4 Al 0.3209 0.0000 0.8108
5 Ni 0.0000 0.0000 0.5517
6 Ni 0.0000 0.0000 0.7560

Calculated values
**Energy**: -66.85 eV per cell
**Total moment**: 0.01 μB per cell

---

# 3
LiTm2 | GGA-PBE | optimized geometry

Cell: 9.0360 9.0360 9.0360 Å, 90.00 90.00 90.00°
Space group Fd-3m (No. 227, origin choice 2)
Symmetry-distinct sites (fractional):
1 Li 0.1250 0.1250 0.1250
2 Tm 0.0000 0.0000 0.5000

Calculated values
**Energy**: -76.09 eV per cell
**Total moment**: 0.11 μB per cell
**Offset from the most stable computed form**: 0 meV per atom

---

# 4
TmTlCo | GGA-PBE | optimized geometry

Cell: 6.4118 6.4118 6.4118 Å, 90.00 90.00 90.00°
Space group F-43m (No. 216)
Symmetry-distinct sites (fractional):
1 Tm 0.0000 0.0000 0.0000
2 Tl 0.0000 0.0000 0.5000
3 Co 0.2500 0.2500 0.7500

Calculated values
**Energy**: -55.79 eV per cell
**Total moment**: 0.01 μB per cell

---

# 5
ScOsNO | GGA-PBE | optimized geometry

Cell: 4.6847 4.6847 4.0859 Å, 90.00 90.00 90.00°
Space group P4/nmm (No. 129, origin choice 2)
Symmetry-distinct sites (fractional):
1 Sc 0.2500 0.7500 0.0000
2 Os 0.2500 0.2500 0.4939
3 N 0.2500 0.2500 0.9943
4 O 0.2500 0.7500 0.5000

Calculated values
**Energy**: -67.33 eV per cell
**Total moment**: 0.02 μB per cell
**Offset from the most stable computed form**: 759 meV per atom

---

# 6
PdPt | GGA-PBE | optimized geometry

Cell: 5.2212 5.2212 5.2212 Å, 90.00 90.00 90.00°
Space group Fm-3m (No. 225)
Symmetry-distinct sites (fractional):
1 Pd 0.0000 0.0000 0.0000
2 Pt 0.0000 0.0000 0.5000

Calculated values
**Formation energy from the elements**: 0.527 eV per atom
**Energy**: -40.71 eV per cell
**Total moment**: 0.09 μB per cell

---

# 7
TmAuSO | GGA-PBE | optimized geometry

Cell: 5.5651 9.0784 5.6436 Å, 90.00 90.00 90.00°
Space group Pca2_1 (No. 29)
Symmetry-distinct sites (fractional):
1 Tm 0.0143 0.1116 0.0000
2 Au 0.2171 0.6384 0.1665
3 S 0.0914 0.3363 0.3835
4 O 0.2467 0.9938 0.7438

Calculated values
**Energy**: -97.64 eV per cell
**Total moment**: 0.01 μB per cell
**Offset from the most stable computed form**: 95 meV per atom

---

# 8
GaNiHgMo | GGA-PBE | optimized geometry

Cell: 6.3382 6.3382 6.3382 Å, 90.00 90.00 90.00°
Space group F-43m (No. 216)
Symmetry-distinct sites (fractional):
1 Ga 0.0000 0.0000 0.0000
2 Ni 0.2500 0.2500 0.2500
3 Hg 0.0000 0.0000 0.5000
4 Mo 0.2500 0.2500 0.7500

Calculated values
**Energy**: -72.88 eV per cell
**Total moment**: 6.73 μB per cell
**Offset from the most stable computed form**: 0 meV per atom

---

# 9
Zn2AgAu | GGA-PBE | optimized geometry

Cell: 4.3342 4.3342 3.4351 Å, 90.00 90.00 90.00°
Space group P4/mmm (No. 123)
Symmetry-distinct sites (fractional):
1 Zn 0.0000 0.5000 0.0000
2 Ag 0.0000 0.0000 0.5000
3 Au 0.5000 0.5000 0.5000

Calculated values
**Formation energy from the elements**: -0.143 eV per atom
**Energy**: -9.19 eV per cell
**Offset from the most stable computed form**: 14 meV per atom

---

# 10
PrZn4Ag8 | GGA-PBE | optimized geometry

Cell: 9.4819 9.4819 5.2710 Å, 90.00 90.00 90.00°
Space group I4/mmm (No. 139)
Symmetry-distinct sites (fractional):
1 Pr 0.0000 0.0000 0.0000
2 Zn 0.2500 0.2500 0.2500
3 Ag 0.0000 0.2176 0.5000
4 Ag 0.0000 0.3482 0.0000

Calculated values
**Formation energy from the elements**: -0.160 eV per atom
**Energy**: -69.02 eV per cell
**Total moment**: 0.03 μB per cell

---

# 11
InFeHgW | GGA-PBE | optimized geometry

Cell: 6.4863 6.4863 6.4863 Å, 90.00 90.00 90.00°
Space group F-43m (No. 216)
Symmetry-distinct sites (fractional):
1 In 0.0000 0.0000 0.0000
2 Fe 0.2500 0.2500 0.2500
3 Hg 0.2500 0.2500 0.7500
4 W 0.0000 0.0000 0.5000

Calculated values
**Energy**: -83.79 eV per cell
**Total moment**: 3.92 μB per cell
**Offset from the most stable computed form**: 0 meV per atom

---

# 12
NdCo2SiGe | GGA-PBE | optimized geometry

Cell: 3.9805 3.9805 10.1340 Å, 90.00 90.00 90.00°
Space group I4mm (No. 107)
Symmetry-distinct sites (fractional):
1 Nd 0.0000 0.0000 0.0000
2 Co 0.0000 0.5000 0.2558
3 Si 0.0000 0.0000 0.3647
4 Ge 0.0000 0.0000 0.6292

Calculated values
**Energy**: -64.82 eV per cell
**Total moment**: 0.04 μB per cell

---

# 13
ErLuTe | GGA-PBE | optimized geometry

Cell: 7.0728 7.0728 7.0728 Å, 90.00 90.00 90.00°
Space group F-43m (No. 216)
Symmetry-distinct sites (fractional):
1 Er 0.0000 0.0000 0.0000
2 Lu 0.0000 0.0000 0.5000
3 Te 0.2500 0.2500 0.2500

Calculated values
**Energy**: -52.83 eV per cell
**Total moment**: 4.39 μB per cell
**Offset from the most stable computed form**: 0 meV per atom

---

# 14
KAlPd | GGA-PBE | optimized geometry

Cell: 6.7734 6.7734 6.7734 Å, 90.00 90.00 90.00°
Space group F-43m (No. 216)
Symmetry-distinct sites (fractional):
1 K 0.0000 0.0000 0.0000
2 Al 0.0000 0.0000 0.5000
3 Pd 0.2500 0.2500 0.7500

Calculated values
**Energy**: -37.35 eV per cell
**Offset from the most stable computed form**: 0 meV per atom

---

# 15
Tm2ScSe3 | GGA-PBE | optimized geometry

Cell: 7.0891 12.3067 3.7397 Å, 90.00 90.00 90.00°
Space group Cmmm (No. 65)
Symmetry-distinct sites (fractional):
1 Tm 0.0000 0.1666 0.0000
2 Sc 0.0000 0.5000 0.0000
3 Se 0.0000 0.0000 0.5000
4 Se 0.2500 0.2500 0.5000

Calculated values
**Energy**: -64.40 eV per cell
**Total moment**: 1.78 μB per cell

---

# 16
Sc3CdN | GGA-PBE | optimized geometry

Cell: 4.4643 4.4643 4.4643 Å, 90.00 90.00 90.00°
Space group Pm-3m (No. 221)
Symmetry-distinct sites (fractional):
1 Sc 0.0000 0.0000 0.5000
2 Cd 0.5000 0.5000 0.5000
3 N 0.0000 0.0000 0.0000

Calculated values
**Energy**: -33.18 eV per cell
**Total moment**: 0.00 μB per cell

---

# 17
SmBr | GGA-PBE | optimized geometry

Cell: 3.6525 3.6525 4.5696 Å, 90.00 90.00 120.00°
Space group P-6m2 (No. 187)
Symmetry-distinct sites (fractional):
1 Sm 0.0000 0.0000 0.0000
2 Br 0.3333 0.6667 0.5000

Calculated values
**Energy**: -8.64 eV per cell
**Total moment**: 0.00 μB per cell

---

# 18
Lu2ZnIr | GGA-PBE | optimized geometry

Cell: 4.8651 4.8651 8.3673 Å, 90.00 90.00 120.00°
Space group P6_3/mmc (No. 194)
Symmetry-distinct sites (fractional):
1 Lu 0.3333 0.6667 0.0818
2 Zn 0.0000 0.0000 0.0000
3 Ir 0.3333 0.6667 0.7500

Calculated values
**Formation energy from the elements**: -0.104 eV per atom
**Energy**: -39.17 eV per cell
**Total moment**: 0.00 μB per cell
**Offset from the most stable computed form**: 370 meV per atom

---

# 19
PmTeNO | GGA-PBE | optimized geometry

Cell: 4.5487 4.5487 7.3137 Å, 90.00 90.00 90.00°
Space group P4/nmm (No. 129, origin choice 2)
Symmetry-distinct sites (fractional):
1 Pm 0.2500 0.2500 0.1259
2 Te 0.2500 0.7500 0.5000
3 N 0.2500 0.2500 0.4534
4 O 0.2500 0.7500 0.0000

Calculated values
**Energy**: -51.26 eV per cell
**Total moment**: 0.00 μB per cell
**Offset from the most stable computed form**: 299 meV per atom

---

# 20
DyTmInNi2 | GGA-PBE | optimized geometry

Cell: 3.6622 3.8662 14.1465 Å, 90.00 90.00 90.00°
Space group Amm2 (No. 38)
Symmetry-distinct sites (fractional):
1 Dy 0.0000 0.0000 0.0000
2 Tm 0.0000 0.0000 0.7237
3 In 0.5000 0.0000 0.3611
4 Ni 0.5000 0.0000 0.1647
5 Ni 0.5000 0.0000 0.5618

Calculated values
**Energy**: -51.40 eV per cell
**Total moment**: 0.01 μB per cell